1.
DFT (PBE) results for a geometry-optimized Y7Ho2Th2 structure.

Total energy in eV per atom: -6.108
Polymorph energy (0 for the lowest one) in eV/f.u.: 0.22
Energy of formation from the pure elements in meV per atom: 187
Volume in Å³/atom: 32.76

extended XYZ file:
```
11
Lattice="-5.3470 0.5996 -2.8792 -5.0875 -4.7905 3.8969 -3.3991 6.5367 3.1202" Properties=species:S:1:pos:R:3 pbc="T T T"
Y -3.2416 3.6545 1.5759
Th -5.9621 1.1281 3.4916
Ho -6.4441 4.3440 1.8516
Y -4.1309 -2.3114 1.9850
Y -10.5920 -1.3088 2.5621
Ho -7.3895 -1.9983 2.2864
Y -9.7027 4.6572 2.1530
Y -4.1721 0.6518 0.4362
Y -9.6615 1.6940 3.7018
Th -7.8715 1.2176 0.6463
Y 0.0000 0.0000 0.0000
```

2.
DFT (PBE) results for a geometry-optimized Y2Ho12Th5 structure.

Total energy in eV per atom: -5.368
Polymorph energy (0 for the lowest one) in eV/f.u.: 0.00
Energy of formation from the pure elements in meV per atom: 156
Volume in Å³/atom: 32.40

extended XYZ file:
```
19
Lattice="10.2405 0.0000 0.0000 -5.1203 7.6745 -0.4472 0.0000 0.5669 7.8002" Properties=species:S:1:pos:R:3 pbc="T T T"
Ho 0.0000 7.2806 5.1056
Ho 2.4113 3.0980 1.4079
Y 2.5738 0.0000 0.0000
Ho 5.1203 0.9608 2.2475
Ho 7.4075 2.0089 4.6382
Ho -2.2872 6.2325 2.7148
Ho 2.7089 5.1434 5.9451
Th 0.0000 5.3816 0.3297
Ho 7.8292 3.0980 1.4079
Ho -2.7089 5.1434 5.9451
Y 7.6667 0.0000 0.0000
Th 5.1202 2.8598 7.0234
Th 0.0000 3.9853 3.7720
Ho 2.2873 6.2325 2.7148
Th 5.1203 4.2562 3.5811
Th 0.0000 0.2834 3.9001
Ho 2.8330 2.0089 4.6382
Ho 5.1202 5.5109 0.5852
Ho 0.0000 2.7305 6.7678
```

3.
DFT (PBE) results for a geometry-optimized Y6Ho3Th structure.

Total energy in eV per atom: -5.800
Polymorph energy (0 for the lowest one) in eV/f.u.: 0.31
Energy of formation from the pure elements in meV per atom: 194
Volume in Å³/atom: 32.84

extended XYZ file:
```
20
Lattice="-5.2997 -3.2780 -1.1923 3.0809 -1.5856 -9.3351 6.0288 -9.4178 -0.9052" Properties=species:S:1:pos:R:3 pbc="T T T"
Y 2.7993 -4.9607 -8.4610
Y -0.8451 -5.6409 -7.2724
Ho 1.5037 -3.7983 -5.6682
Th 1.9050 -7.1407 -5.7163
Ho 3.0144 -4.7089 -0.4526
Y 5.2278 -6.1364 -6.5294
Y 4.6551 -8.6406 -4.1602
Y -1.9258 -2.2421 -1.9939
Y -1.4178 -8.1451 -4.9032
Ho 2.3063 -10.4832 -5.7643
Y 3.5642 -8.8162 -8.6082
Ho 0.5226 -6.7587 -10.0489
Ho 3.2874 -7.5227 -1.3836
Y 7.4118 -9.3519 -7.3571
Th 0.0000 0.0000 0.0000
Y -3.6018 -4.9295 -4.0754
Y 5.7358 -12.0394 -9.4387
Ho -1.1094 -2.4318 -5.2637
Y 1.0107 -9.3207 -2.9715
Y 0.2458 -5.4652 -2.8244
```

4.
DFT (PBE) results for a geometry-optimized Y2Ho8Th3 structure.

Total energy in eV per atom: -5.361
Polymorph energy (0 for the lowest one) in eV/f.u.: 0.00
Energy of formation from the pure elements in meV per atom: 163
Volume in Å³/atom: 32.33

extended XYZ file:
```
13
Lattice="5.4411 -0.1297 -1.3494 -0.5452 6.1318 -2.7880 0.0873 1.6544 11.8113" Properties=species:S:1:pos:R:3 pbc="T T T"
Ho 3.6465 1.6302 2.8721
Th -0.3121 6.1455 9.7692
Ho 0.3604 5.9260 0.8575
Ho 0.6211 2.9951 2.1901
Ho 1.3366 6.0262 4.8017
Ho 2.1526 3.9570 8.2814
Y 1.3980 2.5708 5.3804
Th 2.7205 -0.0649 -0.6747
Ho 4.3621 4.6614 5.4837
Th 5.2952 1.5110 -2.0954
Y 3.5852 5.0856 2.2934
Ho 4.6227 1.7305 6.8164
Ho 2.8305 3.6994 -0.6076
```

5.
DFT (PBE) results for a geometry-optimized Y10Ho4Th structure.

Total energy in eV per atom: -5.631
Energy of formation from the pure elements in meV per atom: 394
Volume in Å³/atom: 33.23

extended XYZ file:
```
15
Lattice="-7.8226 -6.6780 -1.5390 0.2829 -7.3927 -4.4981 -2.1170 -6.7643 4.9728" Properties=species:S:1:pos:R:3 pbc="T T T"
Y -6.0774 -10.8335 -3.7441
Y -5.4736 -14.9077 -1.5419
Y -8.0039 -17.0677 -2.0397
Y -3.5471 -8.6735 -3.2463
Y -4.1831 -5.9274 0.4776
Th 0.0000 0.0000 0.0000
Y -6.1096 -12.1616 2.1820
Ho -8.7232 -14.1706 0.4115
Ho -3.6670 -11.7037 -0.8542
Ho -0.9335 -6.6645 -1.4758
Y -6.7840 -12.0870 -0.9169
Y -2.8727 -8.7480 -0.1474
Y -1.6529 -3.7674 0.9754
Y -3.5793 -10.0015 2.6798
Ho -5.9897 -9.1313 -0.2102
```

6.
DFT (PBE) results for a geometry-optimized Y5Ho2Th structure.

Total energy in eV per atom: -5.971
Energy of formation from the pure elements in meV per atom: 141
Volume in Å³/atom: 33.00

extended XYZ file:
```
16
Lattice="5.5721 0.0000 0.0000 -2.7861 5.9369 0.0000 0.0000 0.0000 15.9602" Properties=species:S:1:pos:R:3 pbc="T T T"
Y 2.7861 0.5095 3.9900
Y 2.7861 1.4176 15.1335
Y 2.7861 1.4176 8.8068
Y 0.0000 4.5193 0.8267
Y 0.0000 5.4274 11.9701
Ho 0.0000 2.6031 13.9029
Ho 2.7861 3.3339 5.9228
Th 0.0000 3.1472 3.9900
Ho 0.0000 2.6031 10.0374
Y 2.7861 4.9696 14.5181
Ho 2.7861 3.3339 2.0573
Y 0.0000 0.9673 6.5380
Th 2.7861 2.7898 11.9701
Y 2.7861 4.9696 9.4222
Y 0.0000 0.9673 1.4421
Y 0.0000 4.5193 7.1534
```

7.
DFT (PBE) results for a geometry-optimized YHo10Th4 structure.

Total energy in eV per atom: -4.606
Energy of formation from the pure elements in meV per atom: 855
Volume in Å³/atom: 38.16

extended XYZ file:
```
15
Lattice="7.0460 0.0000 3.1816 3.5230 8.6043 1.5908 -0.0179 0.0000 9.4327" Properties=species:S:1:pos:R:3 pbc="T T T"
Th 5.6294 6.9082 6.3188
Ho 5.6212 2.5854 11.0196
Ho 7.0370 4.3021 7.8979
Th 2.8250 3.4422 3.1366
Ho 4.2153 0.8744 4.7402
Ho 9.8484 7.7298 11.0509
Ho 0.7027 0.8744 3.1541
Ho 6.3358 7.7298 9.4649
Ho 4.9299 6.0188 3.1855
Y 0.0000 0.0000 0.0000
Ho 3.5140 4.3021 6.3071
Ho 2.1086 2.5854 9.4335
Th 7.7261 5.1621 11.0685
Th 4.9216 1.6961 7.8863
Ho 8.4425 6.0188 4.7716
```

8.
DFT (PBE) results for a geometry-optimized Y8Ho5Th structure.

Total energy in eV per atom: -5.588
Energy of formation from the pure elements in meV per atom: 271
Volume in Å³/atom: 33.24

extended XYZ file:
```
14
Lattice="8.0075 0.6044 -2.6607 -4.0129 6.9557 -2.6607 -0.3194 -0.6044 8.4319" Properties=species:S:1:pos:R:3 pbc="T T T"
Y 4.8692 3.2391 -1.3117
Y 1.4033 6.2256 3.3541
Ho 1.9973 3.7801 -2.6607
Ho 3.3857 3.8013 1.7285
Th -1.1675 5.0657 1.5553
Ho 3.3993 0.6144 0.1078
Y 2.3967 1.1079 3.4115
Y -1.1780 3.7470 4.4008
Y -3.5035 6.4320 3.5216
Y 1.2624 5.8174 -0.2796
Y -2.9927 5.3169 -1.2368
Y 0.4229 2.2883 0.5821
Ho 5.6791 2.0167 3.8114
Ho 6.9068 1.1278 0.5733
```

9.
DFT (PBE) results for a geometry-optimized YHo4Th5 structure.

Total energy in eV per atom: -6.054
Energy of formation from the pure elements in meV per atom: 133
Volume in Å³/atom: 32.22

extended XYZ file:
```
10
Lattice="-0.4507 2.2021 -2.6051 -9.7297 -4.8714 -2.4344 -6.0124 3.0628 5.9016" Properties=species:S:1:pos:R:3 pbc="T T T"
Th -7.9740 2.9120 1.5690
Ho -11.5538 -1.7019 -1.7118
Ho -13.1541 0.5480 0.4670
Th -5.0902 -1.3346 -2.5198
Th -9.7846 0.7239 0.0327
Y -0.2254 1.1011 -1.3025
Th -6.4081 -0.3304 0.8294
Ho -3.0386 -0.1545 0.3952
Th -8.2187 -2.5185 -0.7069
Ho -4.6389 2.0954 2.5739
```

10.
DFT (PBE) results for a geometry-optimized YHo2Th structure.

Total energy in eV per atom: -5.718
Polymorph energy (0 for the lowest one) in eV/f.u.: 0.15
Energy of formation from the pure elements in meV per atom: 42
Volume in Å³/atom: 31.59

extended XYZ file:
```
4
Lattice="4.9931 0.0000 0.0000 0.0000 5.0309 0.0000 0.0000 0.0000 5.0309" Properties=species:S:1:pos:R:3 pbc="T T T"
Ho 0.0000 2.5155 0.0000
Ho 0.0000 0.0000 2.5155
Y 2.4965 0.0000 0.0000
Th 2.4965 2.5155 2.5155
```

11.
DFT (PBE) results for a geometry-optimized Y5Ho2Th4 structure.

Total energy in eV per atom: -6.445
Polymorph energy (0 for the lowest one) in eV/f.u.: 0.00
Energy of formation from the pure elements in meV per atom: 24
Volume in Å³/atom: 32.14

extended XYZ file:
```
11
Lattice="-2.6081 0.7171 2.3506 -5.2659 -5.5303 -4.1557 6.7550 -6.9220 6.8750" Properties=species:S:1:pos:R:3 pbc="T T T"
Ho -4.1112 -4.7648 -0.3765
Ho 2.9922 -6.9705 5.4463
Th -1.4143 -2.6255 -0.7683
Th -1.7015 -4.5331 2.2265
Y 0.6845 -4.2861 4.7985
Th 0.5825 -7.2021 2.8433
Y -1.3040 0.3585 1.1753
Th 0.2953 -9.1097 5.8381
Y -1.8036 -7.4491 0.2713
Y 0.9894 -2.3263 1.8074
Y -2.1084 -9.4089 3.2624
```

12.
DFT (PBE) results for a geometry-optimized Y2HoTh structure.

Total energy in eV per atom: -6.187
Polymorph energy (0 for the lowest one) in eV/f.u.: 0.07
Energy of formation from the pure elements in meV per atom: 44
Volume in Å³/atom: 31.91

extended XYZ file:
```
4
Lattice="-0.0328 -2.1272 -4.5872 -2.4697 -3.9622 1.8551 -4.3748 2.2525 -1.0132" Properties=species:S:1:pos:R:3 pbc="T T T"
Y -2.1874 1.1262 -0.5066
Ho -3.4387 -1.9185 -1.8727
Th -0.0164 -1.0636 -2.2936
Y -1.2348 -1.9811 0.9275
```

Record-wise mass density values, in g/cm3: 6.527; 8.947; 6.372; 8.666; 5.933; 6.331; 7.736; 6.308; 9.837; 8.551; 7.997; 7.479